Crystalline Ac2AgAsO8 at its relaxed geometry, computed with PBE-GGA.

The structure belongs to space group P-3m1 (No. 164); the cell edges are 5.0839, 5.0839 and 8.2699 Å and the angles 90.00°, 90.00° and 120.00°. Symmetry generates all atoms from Ac at (0.3333, 0.6667, 0.2857), Ag at (0.0000, 0.0000, 0.0000), As at (0.0000, 0.0000, 0.5000), O at (0.1632, 0.3263, 0.6392) and O at (0.3333, 0.6667, 0.9918).

The calculation puts the calculated total energy at -71.58 eV/cell. The calculation puts the density of states at the Fermi level at 4.11 states/eV/cell. The calculation puts the theoretical density at 6.9 g/cm³.

=====

Crystalline LiHg2Au at its relaxed geometry, computed with PBE-GGA.

The structure belongs to space group Cm (No. 8); the cell edges are 9.614, 4.236 and 4.267 Å and the angles 90.00°, 114.48° and 90.00°. Symmetry generates all atoms from Li at (0.000, 0.000, 0.000), Hg at (0.249, 0.000, 0.751), Hg at (0.499, 0.000, 0.495) and Au at (0.248, 0.500, 0.247).

The calculation puts the calculated total energy at -13.30 eV/cell. The calculation puts the formation energy at -0.214 eV per atom. The calculation puts the density of states at the Fermi level at 1.93 states/eV/cell. The calculation puts the theoretical density at 12.7 g/cm³.

=====

Crystalline AcPm4Sm5 at its relaxed geometry, computed with PBE-GGA.

The structure belongs to space group P4/mmm (No. 123); the cell edges are 3.691, 3.691 and 25.806 Å and the angles 90.00°, 90.00° and 90.00°. Symmetry generates all atoms from Ac at (0.000, 0.000, 0.000), Pm at (0.000, 0.000, 0.205), Pm at (0.000, 0.000, 0.402), Sm at (0.500, 0.500, 0.107), Sm at (0.500, 0.500, 0.304) and Sm at (0.500, 0.500, 0.500).

The calculation puts the calculated total energy at -46.44 eV/cell. The calculation puts the formation energy at 0.026 eV per atom. The calculation puts the density of states at the Fermi level at 14.42 states/eV/cell. The calculation puts the theoretical density at 7.4 g/cm³.

=====

Crystalline Tb6Dy3Ho2Mg at its relaxed geometry, computed with PBE-GGA.

The structure belongs to space group C2/m (No. 12); the cell edges are 6.116, 10.598 and 11.644 Å and the angles 90.00°, 100.14° and 90.00°. Symmetry generates all atoms from Tb at (0.248, 0.166, 0.248), Tb at (0.249, 0.500, 0.249), Dy at (0.000, 0.166, 0.500), Dy at (0.000, 0.500, 0.500), Ho at (0.000, 0.334, 0.000) and Mg at (0.000, 0.000, 0.000).

The calculation puts the calculated total energy at -104.05 eV/cell. The calculation puts the formation energy at 0.026 eV per atom. The calculation puts the density of states at the Fermi level at 31.45 states/eV/cell. The calculation puts the theoretical density at 8.0 g/cm³.

=====

Crystalline MnMoHOs at its relaxed geometry, computed with PBE-GGA.

The structure belongs to space group I4mm (No. 107); the cell edges are 2.706, 2.706 and 11.923 Å and the angles 90.00°, 90.00° and 90.00°. Symmetry generates all atoms from Mn at (0.000, 0.000, 0.000), Mo at (0.000, 0.000, 0.676), H at (0.000, 0.000, 0.507) and Os at (0.000, 0.000, 0.343).

The calculation puts the calculated total energy at -68.50 eV/cell. Its energy above the lowest structure with this stoichiometry is 0.0476 eV/atom. The calculation puts the density of states at the Fermi level at 4.84 states/eV/cell. The calculation puts the theoretical density at 13.0 g/cm³.

=====

Crystalline Ho2Mg2Zn15 at its relaxed geometry, computed with PBE-GGA.

The structure belongs to space group R-3m (No. 166, hexagonal axes); the cell edges are 9.0480, 9.0480 and 13.3284 Å and the angles 90.00°, 90.00° and 120.00°. Symmetry generates all atoms from Ho at (0.0000, 0.0000, 0.1568), Mg at (0.0000, 0.0000, 0.3956), Zn at (0.0000, 0.2976, 0.5000), Zn at (0.0000, 0.5000, 0.0000) and Zn at (0.0115, 0.5058, 0.6505).

The calculation puts the calculated total energy at -106.89 eV/cell. The calculation puts the formation energy at -0.220 eV per atom. The calculation puts the density of states at the Fermi level at 11.40 states/eV/cell. The calculation puts the theoretical density at 7.2 g/cm³.

=====

Crystalline PmYZnNi at its relaxed geometry, computed with PBE-GGA.

The structure belongs to space group Amm2 (No. 38); the cell edges are 4.449, 3.871 and 10.585 Å and the angles 90.00°, 90.00° and 90.00°. Symmetry generates all atoms from Pm at (0.000, 0.000, 0.000), Y at (0.500, 0.000, 0.282), Zn at (0.500, 0.000, 0.574) and Ni at (0.000, 0.000, 0.706).

The calculation puts the calculated total energy at -39.12 eV/cell. Its energy above the lowest structure with this stoichiometry is 0.0000 eV/atom. The calculation puts the formation energy at -0.323 eV per atom. The calculation puts the density of states at the Fermi level at 6.36 states/eV/cell. The calculation puts the theoretical density at 6.5 g/cm³.

=====

Crystalline U2Ni5Ge3 at its relaxed geometry, computed with PBE-GGA.

The structure belongs to space group Cmc2_1 (No. 36); the cell edges are 4.099, 22.966 and 6.453 Å and the angles 90.00°, 90.00° and 90.00°. Symmetry generates all atoms from U at (0.000, 0.010, 0.000), U at (0.000, 0.329, 0.944), Ni at (0.000, 0.106, 0.233), Ni at (0.000, 0.205, 0.099), Ni at (0.000, 0.221, 0.701), Ni at (0.000, 0.376, 0.488), Ni at (0.000, 0.447, 0.180), Ge at (0.000, 0.117, 0.754), Ge at (0.000, 0.273, 0.395) and Ge at (0.000, 0.446, 0.786).

The calculation puts the calculated total energy at -274.33 eV/cell. Its energy above the lowest structure with this stoichiometry is 0.0000 eV/atom. The calculation puts the formation energy at -0.325 eV per atom. The calculation puts the density of states at the Fermi level at 50.10 states/eV/cell. The calculation puts the theoretical density at 10.8 g/cm³.

=====

Crystalline CdInHg3 at its relaxed geometry, computed with PBE-GGA.

The structure belongs to space group Pmmn (No. 59, origin choice 2); the cell edges are 4.854, 6.370 and 9.043 Å and the angles 90.00°, 90.00° and 90.00°. Symmetry generates all atoms from Cd at (0.250, 0.250, 0.174), In at (0.250, 0.750, 0.289), Hg at (0.250, 0.007, 0.867) and Hg at (0.250, 0.250, 0.497).

The calculation puts the calculated total energy at -8.66 eV/cell. Its energy above the lowest structure with this stoichiometry is 0.0074 eV/atom. The calculation puts the formation energy at 0.046 eV per atom. The calculation puts the density of states at the Fermi level at 4.06 states/eV/cell. The calculation puts the theoretical density at 9.8 g/cm³.

=====

Crystalline Er3Al2Zn3 at its relaxed geometry, computed with PBE-GGA.

The structure belongs to space group Cmcm (No. 63); the cell edges are 4.362, 10.669 and 14.391 Å and the angles 90.00°, 90.00° and 90.00°. Symmetry generates all atoms from Er at (0.000, 0.084, 0.112), Er at (0.000, 0.367, 0.250), Al at (0.000, 0.209, 0.596), Zn at (0.000, 0.343, 0.750) and Zn at (0.000, 0.390, 0.037).

The calculation puts the calculated total energy at -112.88 eV/cell. The calculation puts the formation energy at -0.403 eV per atom. The calculation puts the density of states at the Fermi level at 19.71 states/eV/cell. The calculation puts the theoretical density at 7.5 g/cm³.

=====

Crystalline BePbSe2 at its relaxed geometry, computed with PBE-GGA.

The structure belongs to space group Imm2 (No. 44); the cell edges are 3.459, 3.951 and 13.576 Å and the angles 90.00°, 90.00° and 90.00°. Symmetry generates all atoms from Be at (0.000, 0.000, 0.000), Pb at (0.000, 0.500, 0.757), Se at (0.000, 0.000, 0.593) and Se at (0.000, 0.500, 0.396).

The calculation puts the calculated total energy at -29.57 eV/cell. Its energy above the lowest structure with this stoichiometry is 0.4305 eV/atom. The calculation puts the density of states at the Fermi level at 2.02 states/eV/cell. The calculation puts the theoretical density at 6.7 g/cm³.

=====

Crystalline SrTiBeW2 at its relaxed geometry, computed with PBE-GGA.

The structure belongs to space group P4/mmm (No. 123); the cell edges are 4.391, 4.391 and 5.075 Å and the angles 90.00°, 90.00° and 90.00°. Symmetry generates all atoms from Sr at (0.000, 0.000, 0.000), Ti at (0.500, 0.500, 0.000), Be at (0.000, 0.000, 0.500) and W at (0.000, 0.500, 0.500).

The calculation puts the calculated total energy at -32.46 eV/cell. The calculation puts the formation energy at 1.351 eV per atom. The calculation puts the density of states at the Fermi level at 9.18 states/eV/cell. The calculation puts the theoretical density at 8.7 g/cm³.

=====

Question: Number 3 is which compound?
Answer: AcPm4Sm5